No. 1
InSn3S6 | PBE | relaxed

Energy relative to the elements, uncorrected   -94.5 meV/atom
Total moment   0.0 μB/cell
SG   Fmmm, No. 69

a b c (Å): 7.1619 7.1619 6.9062
angles (deg): 116.78 116.78 97.54
Positions (direct):
1 S 0.1101 0.1101 0.7323
2 Sn 0.2500 0.7500 0.5000
3 In 0.0000 0.0000 0.0000
4 S 0.7572 0.2428 0.0000
5 S 0.6222 0.6222 0.7323
6 S 0.8899 0.8899 0.2677
7 Sn 0.7500 0.2500 0.5000
8 Sn 0.5000 0.5000 0.0000
9 S 0.2428 0.7572 0.0000
10 S 0.3778 0.3778 0.2677

No. 2
In2SnS4 | PBE | relaxed

Energy relative to the elements, uncorrected   -474.9 meV/atom
Total moment   0.0 μB/cell
SG   Cmcm, No. 63

a b c (Å): 3.9185 6.6775 12.6991
angles (deg): 90.00 90.00 107.06
Positions (direct):
1 S 0.2292 0.4585 0.8824
2 In 0.8587 0.7175 0.5645
3 S 0.2292 0.4585 0.6176
4 S 0.7708 0.5415 0.3824
5 S 0.9480 0.8959 0.7500
6 S 0.7708 0.5415 0.1176
7 In 0.8587 0.7175 0.9355
8 S 0.5000 0.0000 0.5000
9 Sn 0.5964 0.1928 0.7500
10 In 0.1413 0.2825 0.4355
11 In 0.1413 0.2825 0.0645
12 S 0.5000 0.0000 0.0000
13 S 0.0520 0.1041 0.2500
14 Sn 0.4036 0.8072 0.2500

No. 3
In2Sn2S7 | PBE | relaxed

Energy relative to the elements, uncorrected   -232.4 meV/atom
Total moment   0.0 μB/cell
SG   Imm2, No. 44

a b c (Å): 3.6258 10.3731 10.3731
angles (deg): 53.58 79.93 79.93
Positions (direct):
1 S 0.2412 0.7277 0.7899
2 S 0.5000 0.9808 0.0192
3 In 0.5000 0.2570 0.7430
4 Sn 0.8312 0.6746 0.6630
5 S 0.5982 0.5612 0.2424
6 S 0.0999 0.1758 0.6244
7 S 0.9001 0.3756 0.8242
8 S 0.4018 0.7576 0.4388
9 In 0.0000 0.7964 0.2036
10 Sn 0.1688 0.3370 0.3254
11 S 0.7588 0.2101 0.2723

No. 4
InSn2S | PBE | relaxed

Energy relative to the elements, uncorrected   108.1 meV/atom
Energy above the lowest structure with this stoichiometry   0.1116 eV per atom
Total moment   0.0 μB/cell
SG   Fm-3m, No. 225

a b c (Å): 5.1698 5.1698 5.1698
angles (deg): 60.00 60.00 60.00
Positions (direct):
1 Sn 0.2500 0.2500 0.2500
2 Sn 0.7500 0.7500 0.7500
3 S 0.0000 0.0000 0.0000
4 In 0.5000 0.5000 0.5000